Entry 1:
## NpPdRh (GGA-PBE)

Data for an optimized crystal structure of NpPdRh.

Properties
For the energy relative to the lowest polymorph listed for this composition, the calculation gives 0.0273 eV per atom. Its magnetization is 7.33 μB per cell. As for the crystal system: orthorhombic. The theoretical density is 13.570 Mg/m³. The calculation puts the total energy at -8.643 eV/atom. Its space-group type is Immm. Its energy of formation is -0.15 eV/atom.

Unit cell a=4.667 b=5.484 c=5.484 alpha=64.12 beta=64.82 gamma=64.82
Last column: magnetic moment on the atom in μB.
Sites, in units of the cell vectors:
1 Np 0.500 0.750 0.250  3.79
2 Np 0.500 0.250 0.750  3.79
3 Pd 0.832 0.168 0.168  -0.07
4 Pd 0.168 0.832 0.832  -0.07
5 Rh 0.165 0.335 0.335  -0.32
6 Rh 0.835 0.665 0.665  -0.32

=====

Entry 2:
## Ba2TeH (GGA-PBE)

Data for an optimized crystal structure of Ba2TeH.

Properties
For the energy relative to the lowest polymorph listed for this composition, the calculation gives 0.0861 eV per atom. Its magnetization is 0.68 μB per cell. As for the crystal system: trigonal. The theoretical density is 4.724 Mg/m³. The calculation puts the total energy at -3.511 eV/atom. Its space-group type is R-3m.

Unit cell a=4.677 b=4.677 c=7.954 alpha=72.90 beta=72.90 gamma=60.00
Last column: magnetic moment on the atom in μB.
Sites, in units of the cell vectors:
1 H 0.000 0.000 0.000  -0.01
2 Te 0.500 0.500 0.500  -0.02
3 Ba 0.259 0.259 0.222  0.10
4 Ba 0.741 0.741 0.778  0.10

=====

Entry 3:
## Ac2GdPt (GGA-PBE)

Data for an optimized crystal structure of Ac2GdPt.

Properties
For the energy relative to the lowest polymorph listed for this composition, the calculation gives 0.0000 eV per atom. Its magnetization is 8.44 μB per cell. As for the crystal system: tetragonal. The theoretical density is 9.987 Mg/m³. The calculation puts the total energy at -7.546 eV/atom. Its space-group type is P4/mmm. Its energy of formation is -0.46 eV/atom.

Unit cell a=3.831 b=3.831 c=9.134 alpha=90.00 beta=90.00 gamma=90.00
Last column: magnetic moment on the atom in μB.
Sites, in units of the cell vectors:
1 Ac 0.000 0.000 0.804  0.07
2 Ac 0.000 0.000 0.196  0.07
3 Gd 0.500 0.500 0.500  7.42
4 Pt 0.500 0.500 0.000  0.04

=====

Entry 4:
## SmZnAu4 (GGA-PBE)

Data for an optimized crystal structure of SmZnAu4.

Properties
For the energy relative to the lowest polymorph listed for this composition, the calculation gives 0.0000 eV per atom. Its magnetization is 0.00 μB per cell. As for the crystal system: monoclinic. The theoretical density is 13.491 Mg/m³. The calculation puts the total energy at -3.631 eV/atom. Its space-group type is C2/m. Its energy of formation is -0.45 eV/atom.

Unit cell a=6.273 b=7.651 c=6.273 alpha=77.87 beta=57.71 gamma=77.87
Sites, in units of the cell vectors:
1 Sm 0.237 0.179 0.237
2 Sm 0.763 0.821 0.763
3 Zn 0.442 0.743 0.442
4 Zn 0.558 0.257 0.558
5 Au 0.203 0.800 0.203
6 Au 0.872 0.536 0.364
7 Au 0.749 0.000 0.251
8 Au 0.636 0.464 0.128
9 Au 0.797 0.200 0.797
10 Au 0.128 0.464 0.636
11 Au 0.251 0.000 0.749
12 Au 0.364 0.536 0.872

=====

Entry 5:
## TbEr6Tl2 (GGA-PBE)

Data for an optimized crystal structure of TbEr6Tl2.

Properties
Its magnetization is 0.00 μB per cell. As for the crystal system: monoclinic. The theoretical density is 9.815 Mg/m³. The calculation puts the total energy at -4.227 eV/atom. Its space-group type is C2/m. Its energy of formation is -0.14 eV/atom.

Unit cell a=3.711 b=6.601 c=11.758 alpha=74.95 beta=80.92 gamma=73.68
Sites, in units of the cell vectors:
1 Tb 0.000 0.000 0.000
2 Er 0.685 0.505 0.125
3 Er 0.315 0.495 0.875
4 Er 0.311 0.795 0.583
5 Er 0.987 0.680 0.346
6 Er 0.013 0.320 0.654
7 Er 0.689 0.205 0.417
8 Tl 0.358 0.074 0.209
9 Tl 0.642 0.926 0.791

=====

Entry 6:
## Ir2Pd3 (GGA-PBE)

Data for an optimized crystal structure of Ir2Pd3.

Properties
Its magnetization is 0.00 μB per cell. As for the crystal system: trigonal. The theoretical density is 15.595 Mg/m³. The calculation puts the total energy at -6.630 eV/atom. Its space-group type is R-3m. Its energy of formation is 0.03 eV/atom.

Unit cell a=2.767 b=2.767 c=11.410 alpha=83.03 beta=83.03 gamma=60.00
Sites, in units of the cell vectors:
1 Ir 0.302 0.302 0.095
2 Ir 0.698 0.698 0.905
3 Pd 0.098 0.098 0.705
4 Pd 0.500 0.500 0.500
5 Pd 0.902 0.902 0.295

=====

Entry 7:
## BaTcRh2 (GGA-PBE)

Data for an optimized crystal structure of BaTcRh2.

Properties
For the energy relative to the lowest polymorph listed for this composition, the calculation gives 0.1467 eV per atom. Its magnetization is 0.00 μB per cell. As for the crystal system: tetragonal. The theoretical density is 9.509 Mg/m³. The calculation puts the total energy at -6.437 eV/atom. Its space-group type is P4/mmm. Its energy of formation is 0.31 eV/atom.

Unit cell a=3.052 b=3.052 c=8.268 alpha=90.00 beta=90.00 gamma=90.00
Sites, in units of the cell vectors:
1 Ba 0.500 0.500 0.750
2 Rh 0.000 0.000 0.059
3 Rh 0.000 0.000 0.441
4 Tc 0.500 0.500 0.250

=====

Entry 8:
## YCd2RhI (GGA-PBE)

Data for an optimized crystal structure of YCd2RhI.

Properties
Its magnetization is 0.00 μB per cell. As for the crystal system: tetragonal. As for the formation energy (no corrections): 79 kJ/mol of formula units. The theoretical density is 6.451 Mg/m³. The calculation puts the total energy at -3.276 eV/atom. Its space-group type is P4/mmm.

Unit cell a=5.137 b=5.303 c=5.137 alpha=90.00 beta=90.00 gamma=90.00
Sites, in units of the cell vectors:
1 I 0.000 0.500 0.000
2 Y 0.500 0.500 0.500
3 Rh 0.000 0.000 0.000
4 Cd 0.000 0.000 0.500
5 Cd 0.500 0.000 0.000